# 1
Material: HgRuPt2
Method: DFT, PBE
State: optimized geometry

Summary:
- D(E_F): 0.955 states/eV per atom
- Total magnetization: 0.00 μB per formula unit
- Density: 17.45 g/cm3
- DFT formation energy: 0.193 eV/atom

Cell: 4.8684 4.8684 5.0715 Å, 80.98 80.98 33.73°
Last column: nearest neighbours and their distance in Å.
Element x y z (fractional)
Hg: 0.2475 0.2475 0.2433  7 Pt 2.79-2.95, 2 Hg 2.82, 3 Ru 2.92-2.93
Pt: 0.0031 0.0031 0.9921  2 Ru 2.73, 3 Hg 2.79-2.88, 5 Pt 2.82-2.86
Pt: 0.7543 0.7543 0.7316  3 Ru 2.70-2.77, 5 Pt 2.82-2.86, 4 Hg 2.86-2.95
Ru: 0.4951 0.4951 0.5330  5 Pt 2.70-2.77, 2 Ru 2.82, 3 Hg 2.92-2.93

=====

# 2
Material: HgRuPt
Method: DFT, PBE
State: optimized geometry

Summary:
- D(E_F): 1.250 states/eV per atom
- Total magnetization: 1.07 μB per formula unit
- Density: 16.08 g/cm3
- DFT formation energy: 0.437 eV/atom

Cell: 7.6793 7.4128 2.8493 Å, 84.44 73.89 21.67°
Last column: nearest neighbours and their distance in Å.
Element x y z (fractional)
Hg: 0.9986 0.9986 0.0014  6 Hg 2.85-2.86, 2 Ru 2.86, 2 Pt 2.92
Pt: 0.6733 0.6733 0.3267  2 Ru 2.67, 6 Pt 2.85-2.86, 2 Hg 2.92
Ru: 0.3281 0.3281 0.6719  2 Pt 2.67, 6 Ru 2.85-2.86, 2 Hg 2.86